[1]
# SCAN BaAlHg, single point on PBEsol structure
# VASP energy = -116.74 eV per cell
# E above lowest polymorph = 0 meV/atom
# Energy of formation = -0.424 eV/atom
data_BaAlHg
_cell_length_a 4.8943
_cell_length_b 4.8943
_cell_length_c 4.2541
_cell_angle_alpha 90.00
_cell_angle_beta 90.00
_cell_angle_gamma 120.00
_symmetry_space_group_name_H-M 'P -6 m 2'
_symmetry_Int_Tables_number 187
_symmetry_space_group_name_Hall 'P -6 2'
loop_
_atom_site_label
_atom_site_fract_x
_atom_site_fract_y
_atom_site_fract_z
_atom_site_occupancy
Ba1 0.0000 0.0000 0.0000 1
Al1 0.6667 0.3333 0.5000 1
Hg1 0.3333 0.6667 0.5000 1

---

[2]
# SCAN RhC2, single point on PBEsol structure
# VASP energy = -192.32 eV per cell
# E above lowest polymorph = 1499 meV/atom
# Energy of formation = 1.964 eV/atom
data_RhC2
_cell_length_a 4.882
_cell_length_b 4.882
_cell_length_c 4.882
_cell_angle_alpha 90.00
_cell_angle_beta 90.00
_cell_angle_gamma 90.00
_symmetry_space_group_name_H-M 'F m -3 m'
_symmetry_Int_Tables_number 225
_symmetry_space_group_name_Hall '-F 4 2 3'
loop_
_atom_site_label
_atom_site_fract_x
_atom_site_fract_y
_atom_site_fract_z
_atom_site_occupancy
Rh1 0.000 0.000 0.000 1
C1 0.250 0.250 0.250 1

---

[3]
# SCAN FeTcAs2Se, single point on PBEsol structure
# VASP energy = -109.54 eV per cell
# Formation energy from raw total energies = 4.1 eV/f.u.
data_FeTcAs2Se
_cell_length_a 4.619
_cell_length_b 4.619
_cell_length_c 5.129
_cell_angle_alpha 90.00
_cell_angle_beta 90.00
_cell_angle_gamma 90.00
_symmetry_space_group_name_H-M 'P 4/m m m'
_symmetry_Int_Tables_number 123
_symmetry_space_group_name_Hall '-P 4 2'
loop_
_atom_site_label
_atom_site_fract_x
_atom_site_fract_y
_atom_site_fract_z
_atom_site_occupancy
Fe1 0.000 0.000 0.000 1
Tc1 0.500 0.500 0.500 1
As1 0.000 0.500 0.500 1
Se1 0.500 0.500 0.000 1